1.
The following is a SCAN calculation of a crystal of K2ReTe relaxed with PBEsol, from Alexandria.

Geometry as CIF:
```
data_K2ReTe
_cell_length_a 2.925
_cell_length_b 5.511
_cell_length_c 5.905
_cell_angle_alpha 90.00
_cell_angle_beta 90.00
_cell_angle_gamma 90.00
_space_group_name_H-M_alt 'P m m m'
_space_group_IT_number 47
_space_group_name_Hall '-P 2 2'
loop_
_atom_site_label
_atom_site_type_symbol
_atom_site_fract_x
_atom_site_fract_y
_atom_site_fract_z
K1 K 0.000 0.000 0.247
Re1 Re 0.500 0.500 0.000
Te1 Te 0.500 0.500 0.500
```

The crystal system is orthorhombic. The uncorrected formation energy is 0.879 eV/atom. For the density of states at the Fermi level, the calculation gives 0.86 states/eV/atom.


2.
The following is a SCAN calculation of a crystal of K2TlRe relaxed with PBEsol, from Alexandria.

Geometry as CIF:
```
data_K2TlRe
_cell_length_a 2.869
_cell_length_b 2.869
_cell_length_c 11.826
_cell_angle_alpha 90.00
_cell_angle_beta 90.00
_cell_angle_gamma 90.00
_space_group_name_H-M_alt 'P 4/m m m'
_space_group_IT_number 123
_space_group_name_Hall '-P 4 2'
loop_
_atom_site_label
_atom_site_type_symbol
_atom_site_fract_x
_atom_site_fract_y
_atom_site_fract_z
K1 K 0.000 0.000 0.231
Tl1 Tl 0.500 0.500 0.500
Re1 Re 0.500 0.500 0.000
```

The crystal system is tetragonal. For the energy relative to the elements, the calculation gives 1.016 eV per atom. For the density of states at the Fermi level, the calculation gives 0.57 states/eV/atom.


3.
The following is a SCAN calculation of a crystal of KTlRe2 relaxed with PBEsol, from Alexandria.

Geometry as CIF:
```
data_KTlRe2
_cell_length_a 8.151
_cell_length_b 2.914
_cell_length_c 8.044
_cell_angle_alpha 90.00
_cell_angle_beta 94.89
_cell_angle_gamma 90.00
_space_group_name_H-M_alt 'C 1 m 1'
_space_group_IT_number 8
_space_group_name_Hall 'C -2y'
loop_
_atom_site_label
_atom_site_type_symbol
_atom_site_fract_x
_atom_site_fract_y
_atom_site_fract_z
K1 K 0.000 0.000 0.000
Tl1 Tl 0.240 0.000 0.669
Re1 Re 0.003 0.500 0.426
Re2 Re 0.270 0.500 0.318
```

The crystal system is monoclinic. For the energy relative to the elements, the calculation gives 0.739 eV per atom. For the density of states at the Fermi level, the calculation gives 0.56 states/eV/atom.


4.
The following is a SCAN calculation of a crystal of KTl2Re relaxed with PBEsol, from Alexandria.

Geometry as CIF:
```
data_KTl2Re
_cell_length_a 3.1560
_cell_length_b 3.1560
_cell_length_c 31.1616
_cell_angle_alpha 90.00
_cell_angle_beta 90.00
_cell_angle_gamma 120.00
_space_group_name_H-M_alt 'R -3 m'
_space_group_IT_number 166
_space_group_name_Hall '-R 3 2"'
loop_
_atom_site_label
_atom_site_type_symbol
_atom_site_fract_x
_atom_site_fract_y
_atom_site_fract_z
K1 K 0.0000 0.0000 0.0000
Tl1 Tl 0.0000 0.0000 0.2398
Re1 Re 0.0000 0.0000 0.5000
```

The crystal system is trigonal. For the energy above the lowest structure with this stoichiometry, the calculation gives 0.355 eV/f.u. For the energy relative to the elements, the calculation gives 0.752 eV per atom. For the density of states at the Fermi level, the calculation gives 0.37 states/eV/atom.


5.
The following is a SCAN calculation of a crystal of KTl2Re relaxed with PBEsol, from Alexandria.

Geometry as CIF:
```
data_KTl2Re
_cell_length_a 3.521
_cell_length_b 4.884
_cell_length_c 10.694
_cell_angle_alpha 90.00
_cell_angle_beta 90.00
_cell_angle_gamma 90.00
_space_group_name_H-M_alt 'C m m 2'
_space_group_IT_number 35
_space_group_name_Hall 'C 2 -2'
loop_
_atom_site_label
_atom_site_type_symbol
_atom_site_fract_x
_atom_site_fract_y
_atom_site_fract_z
K1 K 0.000 0.000 0.000
Tl1 Tl 0.000 0.000 0.539
Tl2 Tl 0.000 0.500 0.286
Re1 Re 0.000 0.500 0.748
```

The crystal system is orthorhombic. For the energy above the lowest structure with this stoichiometry, the calculation gives 1.190 eV/f.u. For the energy relative to the elements, the calculation gives 0.961 eV per atom. For the density of states at the Fermi level, the calculation gives 0.44 states/eV/atom.


6.
The following is a SCAN calculation of a crystal of KTl2Re relaxed with PBEsol, from Alexandria.

Geometry as CIF:
```
data_KTl2Re
_cell_length_a 3.042
_cell_length_b 3.042
_cell_length_c 9.726
_cell_angle_alpha 90.00
_cell_angle_beta 90.00
_cell_angle_gamma 90.00
_space_group_name_H-M_alt 'P 4/m m m'
_space_group_IT_number 123
_space_group_name_Hall '-P 4 2'
loop_
_atom_site_label
_atom_site_type_symbol
_atom_site_fract_x
_atom_site_fract_y
_atom_site_fract_z
K1 K 0.000 0.000 0.000
Tl1 Tl 0.500 0.500 0.285
Re1 Re 0.000 0.000 0.500
```

The crystal system is tetragonal. For the energy above the lowest structure with this stoichiometry, the calculation gives 0.000 eV/f.u. For the energy relative to the elements, the calculation gives 0.663 eV per atom. For the density of states at the Fermi level, the calculation gives 0.34 states/eV/atom.


7.
The following is a SCAN calculation of a crystal of KRe2W relaxed with PBEsol, from Alexandria.

Geometry as CIF:
```
data_KRe2W
_cell_length_a 5.774
_cell_length_b 9.288
_cell_length_c 2.549
_cell_angle_alpha 90.00
_cell_angle_beta 90.00
_cell_angle_gamma 90.00
_space_group_name_H-M_alt 'C m m m'
_space_group_IT_number 65
_space_group_name_Hall '-C 2 2'
loop_
_atom_site_label
_atom_site_type_symbol
_atom_site_fract_x
_atom_site_fract_y
_atom_site_fract_z
K1 K 0.000 0.000 0.000
Re1 Re 0.250 0.250 0.500
W1 W 0.000 0.500 0.000
```

The crystal system is orthorhombic. For the energy above the lowest structure with this stoichiometry, the calculation gives 2.674 eV/f.u. For the energy relative to the elements, the calculation gives 1.638 eV per atom. For the density of states at the Fermi level, the calculation gives 0.94 states/eV/atom.


8.
The following is a SCAN calculation of a crystal of K2ReW relaxed with PBEsol, from Alexandria.

Geometry as CIF:
```
data_K2ReW
_cell_length_a 2.647
_cell_length_b 5.263
_cell_length_c 5.947
_cell_angle_alpha 90.00
_cell_angle_beta 90.00
_cell_angle_gamma 90.00
_space_group_name_H-M_alt 'P m m m'
_space_group_IT_number 47
_space_group_name_Hall '-P 2 2'
loop_
_atom_site_label
_atom_site_type_symbol
_atom_site_fract_x
_atom_site_fract_y
_atom_site_fract_z
K1 K 0.000 0.249 0.000
Re1 Re 0.500 0.000 0.500
W1 W 0.500 0.500 0.500
```

The crystal system is orthorhombic. For the energy relative to the elements, the calculation gives 1.554 eV per atom. For the density of states at the Fermi level, the calculation gives 0.92 states/eV/atom.


9.
The following is a SCAN calculation of a crystal of KReW2 relaxed with PBEsol, from Alexandria.

Geometry as CIF:
```
data_KReW2
_cell_length_a 2.645
_cell_length_b 5.116
_cell_length_c 5.172
_cell_angle_alpha 90.00
_cell_angle_beta 90.00
_cell_angle_gamma 90.00
_space_group_name_H-M_alt 'P m m m'
_space_group_IT_number 47
_space_group_name_Hall '-P 2 2'
loop_
_atom_site_label
_atom_site_type_symbol
_atom_site_fract_x
_atom_site_fract_y
_atom_site_fract_z
K1 K 0.000 0.000 0.000
Re1 Re 0.500 0.000 0.500
W1 W 0.000 0.500 0.500
W2 W 0.500 0.500 0.000
```

The crystal system is orthorhombic. For the energy above the lowest structure with this stoichiometry, the calculation gives 3.635 eV/f.u. For the energy relative to the elements, the calculation gives 1.860 eV per atom. For the density of states at the Fermi level, the calculation gives 0.88 states/eV/atom.


10.
The following is a SCAN calculation of a crystal of KRe2W relaxed with PBEsol, from Alexandria.

Geometry as CIF:
```
data_KRe2W
_cell_length_a 2.726
_cell_length_b 4.052
_cell_length_c 7.870
_cell_angle_alpha 90.00
_cell_angle_beta 90.00
_cell_angle_gamma 90.00
_space_group_name_H-M_alt 'P m m m'
_space_group_IT_number 47
_space_group_name_Hall '-P 2 2'
loop_
_atom_site_label
_atom_site_type_symbol
_atom_site_fract_x
_atom_site_fract_y
_atom_site_fract_z
K1 K 0.000 0.000 0.000
Re1 Re 0.500 0.500 0.347
W1 W 0.000 0.000 0.500
```

The crystal system is orthorhombic. For the energy above the lowest structure with this stoichiometry, the calculation gives 0.000 eV/f.u. For the energy relative to the elements, the calculation gives 0.970 eV per atom. For the density of states at the Fermi level, the calculation gives 0.83 states/eV/atom.


11.
The following is a SCAN calculation of a crystal of KRe2W relaxed with PBEsol, from Alexandria.

Geometry as CIF:
```
data_KRe2W
_cell_length_a 6.407
_cell_length_b 6.407
_cell_length_c 6.407
_cell_angle_alpha 90.00
_cell_angle_beta 90.00
_cell_angle_gamma 90.00
_space_group_name_H-M_alt 'F m -3 m'
_space_group_IT_number 225
_space_group_name_Hall '-F 4 2 3'
loop_
_atom_site_label
_atom_site_type_symbol
_atom_site_fract_x
_atom_site_fract_y
_atom_site_fract_z
K1 K 0.000 0.000 0.000
Re1 Re 0.250 0.250 0.250
W1 W 0.000 0.000 0.500
```

The crystal system is cubic. For the energy above the lowest structure with this stoichiometry, the calculation gives 2.838 eV/f.u. For the energy relative to the elements, the calculation gives 1.679 eV per atom. For the density of states at the Fermi level, the calculation gives 1.04 states/eV/atom.


12.
The following is a SCAN calculation of a crystal of KReW2 relaxed with PBEsol, from Alexandria.

Geometry as CIF:
```
data_KReW2
_cell_length_a 2.8336
_cell_length_b 2.8336
_cell_length_c 31.7790
_cell_angle_alpha 90.00
_cell_angle_beta 90.00
_cell_angle_gamma 120.00
_space_group_name_H-M_alt 'R -3 m'
_space_group_IT_number 166
_space_group_name_Hall '-R 3 2"'
loop_
_atom_site_label
_atom_site_type_symbol
_atom_site_fract_x
_atom_site_fract_y
_atom_site_fract_z
K1 K 0.0000 0.0000 0.0000
Re1 Re 0.0000 0.0000 0.5000
W1 W 0.0000 0.0000 0.2349
```

The crystal system is trigonal. For the energy above the lowest structure with this stoichiometry, the calculation gives 0.000 eV/f.u. For the energy relative to the elements, the calculation gives 0.951 eV per atom. For the density of states at the Fermi level, the calculation gives 0.76 states/eV/atom.


13.
The following is a SCAN calculation of a crystal of KReW relaxed with PBEsol, from Alexandria.

Geometry as CIF:
```
data_KReW
_cell_length_a 3.041
_cell_length_b 4.531
_cell_length_c 16.422
_cell_angle_alpha 90.00
_cell_angle_beta 90.00
_cell_angle_gamma 90.00
_space_group_name_H-M_alt 'F m m 2'
_space_group_IT_number 42
_space_group_name_Hall 'F 2 -2'
loop_
_atom_site_label
_atom_site_type_symbol
_atom_site_fract_x
_atom_site_fract_y
_atom_site_fract_z
K1 K 0.000 0.000 0.000
Re1 Re 0.000 0.000 0.321
W1 W 0.000 0.000 0.691
```

The crystal system is orthorhombic. For the energy relative to the elements, the calculation gives 1.000 eV per atom. For the density of states at the Fermi level, the calculation gives 0.70 states/eV/atom.


14.
The following is a SCAN calculation of a crystal of KY2Re relaxed with PBEsol, from Alexandria.

Geometry as CIF:
```
data_KY2Re
_cell_length_a 3.800
_cell_length_b 3.863
_cell_length_c 8.685
_cell_angle_alpha 90.00
_cell_angle_beta 90.00
_cell_angle_gamma 90.00
_space_group_name_H-M_alt 'P m m 2'
_space_group_IT_number 25
_space_group_name_Hall 'P 2 -2'
loop_
_atom_site_label
_atom_site_type_symbol
_atom_site_fract_x
_atom_site_fract_y
_atom_site_fract_z
K1 K 0.000 0.000 0.000
Y1 Y 0.000 0.000 0.390
Y2 Y 0.500 0.500 0.617
Re1 Re 0.500 0.500 0.300
```

The crystal system is orthorhombic. For the energy relative to the elements, the calculation gives 0.662 eV per atom. For the density of states at the Fermi level, the calculation gives 0.68 states/eV/atom.


15.
The following is a SCAN calculation of a crystal of KZnRe2 relaxed with PBEsol, from Alexandria.

Geometry as CIF:
```
data_KZnRe2
_cell_length_a 2.606
_cell_length_b 2.606
_cell_length_c 10.017
_cell_angle_alpha 90.00
_cell_angle_beta 90.00
_cell_angle_gamma 90.00
_space_group_name_H-M_alt 'P 4/m m m'
_space_group_IT_number 123
_space_group_name_Hall '-P 4 2'
loop_
_atom_site_label
_atom_site_type_symbol
_atom_site_fract_x
_atom_site_fract_y
_atom_site_fract_z
K1 K 0.000 0.000 0.000
Zn1 Zn 0.000 0.000 0.500
Re1 Re 0.500 0.500 0.292
```

The crystal system is tetragonal. For the energy relative to the elements, the calculation gives 0.874 eV per atom. For the density of states at the Fermi level, the calculation gives 0.57 states/eV/atom.


Across the entries above, magnetic moment takes the values 0.0003 0.0000 0.0000 0.1260 0.0000 0.1660 0.0000 0.0000 0.0011 0.0000 0.0000 0.0000 0.0000 0.0000 0.0000 μB per atom, respectively.